# 1
Density functional theory data (PBE) for CaSc2Ag after structural relaxation.

Cell and atoms, written as POSCAR:
```
CaSc2Ag
1.0
3.444 0.000 0.000
0.000 4.930 0.000
-1.620 0.000 5.999
Ca Sc Ag
1 2 1
direct
0.000 0.000 0.000 Ca
0.327 0.500 0.717 Sc
0.673 0.500 0.283 Sc
0.500 0.000 0.500 Ag
```

Results
The calculation puts the calculated formation energy at 0.4 eV/f.u. The value obtained for the uncorrected energy is -4.286 eV/atom. The calculation puts the magnetization at 0.000 μB/atom.

---

# 2
Density functional theory data (PBE) for Li12Si3H5 after structural relaxation.

Cell and atoms, written as POSCAR:
```
Li12Si3H5
1.0
-6.436 6.436 6.436
6.436 -6.436 6.436
6.436 6.436 -6.436
Li Si H
48 12 20
direct
0.011 0.199 0.107 Li
0.011 0.312 0.904 Li
0.092 0.699 0.688 Li
0.092 0.893 0.404 Li
0.096 0.607 0.408 Li
0.096 0.989 0.688 Li
0.107 0.011 0.199 Li
0.107 0.596 0.908 Li
0.188 0.199 0.592 Li
0.188 0.489 0.596 Li
0.199 0.107 0.011 Li
0.199 0.592 0.188 Li
0.301 0.312 0.908 Li
0.301 0.489 0.393 Li
0.312 0.904 0.011 Li
0.312 0.908 0.301 Li
0.393 0.301 0.489 Li
0.393 0.592 0.904 Li
0.404 0.092 0.893 Li
0.404 0.812 0.511 Li
0.408 0.096 0.607 Li
0.408 0.812 0.801 Li
0.489 0.393 0.301 Li
0.489 0.596 0.188 Li
0.511 0.404 0.812 Li
0.511 0.607 0.699 Li
0.592 0.188 0.199 Li
0.592 0.904 0.393 Li
0.596 0.188 0.489 Li
0.596 0.908 0.107 Li
0.607 0.408 0.096 Li
0.607 0.699 0.511 Li
0.688 0.092 0.699 Li
0.688 0.096 0.989 Li
0.699 0.511 0.607 Li
0.699 0.688 0.092 Li
0.801 0.408 0.812 Li
0.801 0.893 0.989 Li
0.812 0.511 0.404 Li
0.812 0.801 0.408 Li
0.893 0.404 0.092 Li
0.893 0.989 0.801 Li
0.904 0.011 0.312 Li
0.904 0.393 0.592 Li
0.908 0.107 0.596 Li
0.908 0.301 0.312 Li
0.989 0.688 0.096 Li
0.989 0.801 0.893 Li
0.125 0.250 0.375 Si
0.125 0.375 0.750 Si
0.250 0.375 0.125 Si
0.250 0.875 0.625 Si
0.375 0.125 0.250 Si
0.375 0.750 0.125 Si
0.625 0.250 0.875 Si
0.625 0.875 0.750 Si
0.750 0.125 0.375 Si
0.750 0.625 0.875 Si
0.875 0.625 0.250 Si
0.875 0.750 0.625 Si
0.000 0.000 0.000 H
0.000 0.000 0.500 H
0.000 0.500 0.000 H
0.000 0.500 0.500 H
0.125 0.750 0.875 H
0.125 0.875 0.250 H
0.250 0.125 0.875 H
0.250 0.625 0.375 H
0.375 0.250 0.625 H
0.375 0.625 0.750 H
0.500 0.000 0.000 H
0.500 0.000 0.500 H
0.500 0.500 0.000 H
0.500 0.500 0.500 H
0.625 0.375 0.250 H
0.625 0.750 0.375 H
0.750 0.375 0.625 H
0.750 0.875 0.125 H
0.875 0.125 0.750 H
0.875 0.250 0.125 H
```

Results
The value obtained for the uncorrected energy is -2.897 eV/atom. The calculation puts the magnetization at 0.000 μB/atom.

---

no.,N(E_F) (states/eV/cell)
1,6.7
2,26.8